# 1
VASP calculation (GGA-PBE) on a geometry-optimized TaCr2ReCl structure.

Values from the calculation:
E_tot: -8.09 eV per atom
size of the total moment: 1.2 μB per cell
energy relative to the elements, uncorrected: 993 meV per atom

abc: 4.1123 4.1123 4.4596
angles: 90.00 90.00 90.00
Element x y z (fractional)
Ta1 0.0000 0.0000 0.0000
Cr1 0.0000 0.5000 0.5000
Cr2 0.5000 0.0000 0.5000
Re1 0.5000 0.5000 0.0000
Cl1 0.5000 0.5000 0.5000

# 2
VASP calculation (GGA-PBE) on a geometry-optimized B3SeI structure.

Values from the calculation:
E_tot: -2.45 eV per atom
size of the total moment: 0.0 μB per cell
energy relative to the elements, uncorrected: 2565 meV per atom
polymorph energy (0 for the lowest one): 522 meV/atom

abc: 4.4992 4.4992 4.4992
angles: 90.00 90.00 90.00
Element x y z (fractional)
B1 0.0000 0.0000 0.5000
B2 0.0000 0.5000 0.0000
B3 0.5000 0.0000 0.0000
Se1 0.5000 0.5000 0.5000
I1 0.0000 0.0000 0.0000

# 3
VASP calculation (GGA-PBE) on a geometry-optimized EuYRu4 structure.

Values from the calculation:
E_tot: -9.07 eV per atom
size of the total moment: 5.3 μB per cell

abc: 5.3741 5.3741 5.3741
angles: 60.00 60.00 60.00
Element x y z (fractional)
Eu1 0.0000 0.0000 0.0000
Y1 0.2500 0.2500 0.2500
Ru1 0.1253 0.6249 0.6249
Ru2 0.6249 0.1253 0.6249
Ru3 0.6249 0.6249 0.1253
Ru4 0.6249 0.6249 0.6249

# 4
VASP calculation (GGA-PBE) on a geometry-optimized RuPt2W structure.

Values from the calculation:
E_tot: -8.77 eV per atom
size of the total moment: 0.0 μB per cell
polymorph energy (0 for the lowest one): 0 meV/atom

abc: 4.7851 4.7851 4.7851
angles: 131.24 131.24 71.43
Element x y z (fractional)
Ru1 0.0000 0.0000 0.0000
Pt1 0.2500 0.7500 0.5000
Pt2 0.5000 0.5000 0.0000
W1 0.7500 0.2500 0.5000